## NpTiCr2O6 (GGA+U)

Data for NpTiCr2O6 after structural relaxation.

Cell: 5.277 5.354 5.707 Å, 63.55 89.73 60.70°
Space group P1 (No. 1)
Inequivalent atoms, fractional coordinates:
1 Np 0.000 0.000 0.000 (multiplicity 1)
2 Ti 0.514 0.975 0.537 (multiplicity 1)
3 Cr 0.213 0.579 0.619 (multiplicity 1)
4 Cr 0.719 0.555 0.154 (multiplicity 1)
5 O 0.165 0.035 0.355 (multiplicity 1)
6 O 0.320 0.111 0.801 (multiplicity 1)
7 O 0.429 0.435 0.353 (multiplicity 1)
8 O 0.577 0.506 0.829 (multiplicity 1)
9 O 0.806 0.775 0.346 (multiplicity 1)
10 O 0.915 0.743 0.825 (multiplicity 1)

Computed properties:
magnetic moment: 1.100 μB per atom
electronic total energy: -89.13 eV for the cell shown